VASP calculation (GGA-PBE) on a relaxed structure of LaY2In2Ni4.

The structure in POSCAR format:
```
LaY2In2Ni4
1.0
-2.952 -0.505 -4.493
1.278 -1.223 -5.101
-1.018 -8.053 2.418
Y In Ni La
2 2 4 1
direct
0.371 0.371 0.614 Y
0.629 0.629 0.386 Y
0.678 0.678 0.771 In
0.322 0.322 0.229 In
0.077 0.077 0.618 Ni
0.732 0.732 0.082 Ni
0.268 0.268 0.918 Ni
0.923 0.923 0.382 Ni
0.000 0.000 0.000 La
```

Output
Total DFT energy (no corrections) = -49.54 eV/cell
Total magnetization = 0.00 μB/f.u.